## Ac8TeIr3Se4 (GGA-PBE)

Data for Ac8TeIr3Se4 after structural relaxation.

Results
* DOS(E_F): 0.762 states/eV per atom
* ρ: 9.01 Mg/m³
* formation energy from raw total energies: -31.18 kcal/mol of atoms
* total energy: -6.135 eV/atom

Cell and atoms, written as POSCAR:
```
Ac8TeIr3Se4
1.0
-1.8135 -7.9852 -3.5237
1.8874 -3.9795 8.0468
-6.1015 6.4919 -0.2951
Se Ac Te Ir
4 8 1 3
direct
0.0000 0.0000 0.5000
0.5000 0.0000 0.0000
0.0000 0.0000 0.0000
0.5000 0.0000 0.5000
0.7456 0.2711 0.4913
0.2592 0.2765 0.5184
0.2549 0.7306 0.9762
0.2544 0.7289 0.5087
0.7408 0.7235 0.4816
0.2787 0.2694 0.0238
0.7213 0.7306 0.9762
0.7451 0.2694 0.0238
0.0000 0.5000 0.0000
0.5000 0.5000 0.0000
0.0000 0.5000 0.5000
0.5000 0.5000 0.5000
```

## Ba2CaS2 (GGA-PBE)

Data for Ba2CaS2 after structural relaxation.

Results
* DOS(E_F): 0.066 states/eV per atom
* ρ: 4.08 Mg/m³
* formation energy from raw total energies: -35.18 kcal/mol of atoms
* total energy: -4.346 eV/atom

Cell and atoms, written as POSCAR:
```
Ba2CaS2
1.0
8.2861 0.0000 0.0000
0.0000 8.2861 0.0000
0.0000 0.0000 4.4898
S Ba Ca
4 4 2
direct
0.8385 0.6615 0.0000
0.3385 0.8385 0.0000
0.1615 0.3385 0.0000
0.6615 0.1615 0.0000
0.6532 0.8468 0.5000
0.8468 0.3468 0.5000
0.1532 0.6532 0.5000
0.3468 0.1532 0.5000
0.0000 0.0000 0.0000
0.5000 0.5000 0.0000
```

## MgTcIr (GGA-PBE)

Data for MgTcIr after structural relaxation.

Results
* DOS(E_F): 0.379 states/eV per atom
* energy of formation from the pure elements: -196 meV per atom
* ρ: 10.82 Mg/m³
* energy relative to the lowest polymorph listed for this composition: 0 meV/atom
* total energy: -7.136 eV/atom

Cell and atoms, written as POSCAR:
```
MgTcIr
1.0
-1.4119 1.7423 1.6949
-2.4146 -1.2306 -0.7464
1.2139 -7.9541 9.1876
Tc Mg Ir
2 2 2
direct
0.5000 0.0000 0.0866
0.0000 0.5000 0.9134
0.5000 0.0000 0.3885
0.0000 0.5000 0.6115
0.5000 0.0000 0.7723
0.0000 0.5000 0.2277
```

## Ca2Pd17 (GGA-PBE)

Data for Ca2Pd17 after structural relaxation.

Results
* DOS(E_F): 1.351 states/eV per atom
* energy of formation from the pure elements: -200 meV per atom
* ρ: 9.53 Mg/m³
* total energy: -5.057 eV/atom

Cell and atoms, written as POSCAR:
```
Ca2Pd17
1.0
6.9606 -0.0382 -0.0337
0.9490 6.8957 -0.0337
0.9490 0.8228 6.8465
Pd Ca
17 2
direct
0.0000 0.3026 0.6974
0.3475 0.8418 0.3475
0.5000 0.0000 0.0000
0.0000 0.5000 0.0000
0.6974 0.0000 0.3026
0.6525 0.1582 0.6525
0.3026 0.0000 0.6974
0.1582 0.6525 0.6525
0.6525 0.6525 0.1582
0.0000 0.6974 0.3026
0.0995 0.0995 0.0995
0.6974 0.3026 0.0000
0.3026 0.6974 0.0000
0.9005 0.9005 0.9005
0.8418 0.3475 0.3475
0.0000 0.0000 0.5000
0.3475 0.3475 0.8418
0.6643 0.6643 0.6643
0.3357 0.3357 0.3357
```

## Mg5Cd2Hg2Pd (GGA-PBE)

Data for Mg5Cd2Hg2Pd after structural relaxation.

Results
* DOS(E_F): 0.400 states/eV per atom
* energy of formation from the pure elements: -220 meV per atom
* ρ: 6.53 Mg/m³
* total energy: -1.780 eV/atom

Cell and atoms, written as POSCAR:
```
Mg5Cd2Hg2Pd
1.0
3.3200 0.0000 0.0000
0.0000 11.4360 0.0000
0.0000 0.0000 11.4360
Mg Hg Cd Pd
10 4 4 2
direct
0.5000 0.5220 0.6897
0.5000 0.0220 0.8103
0.5000 0.5000 0.0000
0.5000 0.9780 0.1897
0.5000 0.0000 0.5000
0.5000 0.3103 0.5220
0.5000 0.1897 0.0220
0.5000 0.6897 0.4780
0.5000 0.8103 0.9780
0.5000 0.4780 0.3103
0.0000 0.6470 0.8530
0.0000 0.3530 0.1470
0.0000 0.1470 0.6470
0.0000 0.8530 0.3530
0.0000 0.8308 0.6692
0.0000 0.3308 0.8308
0.0000 0.6692 0.1692
0.0000 0.1692 0.3308
0.0000 0.5000 0.5000
0.0000 0.0000 0.0000
```

## RbYCuBr6 (GGA-PBE)

Data for RbYCuBr6 after structural relaxation.

Results
* DOS(E_F): 0.007 states/eV per atom
* ρ: 3.53 Mg/m³
* formation energy from raw total energies: -30.16 kcal/mol of atoms
* total energy: -3.704 eV/atom

Cell and atoms, written as POSCAR:
```
RbYCuBr6
1.0
7.6124 0.0663 0.4644
3.8701 5.8237 0.1626
0.4834 -0.0882 7.6848
Rb Cu Br Y
1 1 6 1
direct
0.0417 0.9367 0.0006
0.3081 0.3349 0.4758
0.0114 0.3597 0.2623
0.6268 0.4029 0.7785
0.9952 0.6506 0.6582
0.3619 0.0532 0.7057
0.5951 0.0139 0.2815
0.3858 0.6081 0.3278
0.6739 0.6401 0.5095
```

## Ac8Co2Tc (GGA-PBE)

Data for Ac8Co2Tc after structural relaxation.

Results
* DOS(E_F): 1.347 states/eV per atom
* energy of formation from the pure elements: 130 meV per atom
* ρ: 8.13 Mg/m³
* total energy: -5.092 eV/atom

Cell and atoms, written as POSCAR:
```
Ac8Co2Tc
1.0
-3.4758 4.2298 2.8614
-6.6719 -4.7485 -0.6776
1.0354 -3.7647 7.2302
Ac Tc Co
8 1 2
direct
0.2172 0.1229 0.6405
0.2533 0.6039 0.6039
0.7828 0.8771 0.3595
0.6643 0.8465 0.8465
0.7828 0.3595 0.8771
0.2172 0.6405 0.1229
0.7467 0.3961 0.3961
0.3357 0.1535 0.1535
0.0000 0.0000 0.0000
0.1662 0.8208 0.8208
0.8338 0.1792 0.1792
```

## Ca2HPb (GGA-PBE)

Data for Ca2HPb after structural relaxation.

Results
* DOS(E_F): 1.241 states/eV per atom
* ρ: 4.61 Mg/m³
* energy relative to the lowest polymorph listed for this composition: 333 meV/atom
* total energy: -2.885 eV/atom

Cell and atoms, written as POSCAR:
```
Ca2HPb
1.0
0.0000 3.7307 3.7307
3.7307 0.0000 3.7307
3.7307 3.7307 0.0000
Pb Ca H
1 2 1
direct
0.5000 0.5000 0.5000
0.2500 0.2500 0.2500
0.7500 0.7500 0.7500
0.0000 0.0000 0.0000
```

## SrTaCl (GGA-PBE)

Data for SrTaCl after structural relaxation.

Results
* DOS(E_F): 0.553 states/eV per atom
* ρ: 7.31 Mg/m³
* formation energy from raw total energies: 4.70 kcal/mol of atoms
* energy relative to the lowest polymorph listed for this composition: 95 meV/atom
* total energy: -4.923 eV/atom

Cell and atoms, written as POSCAR:
```
SrTaCl
1.0
-4.4286 -3.5131 4.4780
-1.6992 -3.1432 6.1288
-1.7664 2.2930 1.3907
Sr Ta Cl
1 1 1
direct
0.6600 0.6600 0.3400
0.3484 0.3484 0.6516
0.9916 0.9916 0.0084
```

## KLa2Rh (GGA-PBE)

Data for KLa2Rh after structural relaxation.

Results
* DOS(E_F): 0.873 states/eV per atom
* energy of formation from the pure elements: 69 meV per atom
* ρ: 3.15 Mg/m³
* energy relative to the lowest polymorph listed for this composition: 447 meV/atom
* total energy: -4.507 eV/atom

Cell and atoms, written as POSCAR:
```
KLa2Rh
1.0
-2.7172 1.5391 -7.9596
-8.0658 -1.3592 2.4906
-5.9693 5.9605 -1.4021
La Rh K
4 2 2
direct
0.8734 0.1250 0.2500
0.8750 0.1234 0.7500
0.8766 0.6250 0.2500
0.3750 0.1266 0.7500
0.7500 0.2500 0.5000
0.0000 0.0000 0.0000
0.2500 0.7500 0.5000
0.5000 0.5000 0.0000
```

## Tb2PmSmTm5 (GGA-PBE)

Data for Tb2PmSmTm5 after structural relaxation.

Results
* DOS(E_F): 1.138 states/eV per atom
* energy of formation from the pure elements: 277 meV per atom
* ρ: 8.47 Mg/m³
* total energy: -4.288 eV/atom

Cell and atoms, written as POSCAR:
```
Tb2PmSmTm5
1.0
-3.6167 7.7339 -1.8862
-7.6146 -2.7569 3.2967
7.6000 0.0814 6.0272
Pm Tm Sm Tb
2 10 2 4
direct
0.2500 0.2500 0.5000
0.7500 0.7500 0.5000
0.3400 0.8400 0.2682
0.5719 0.6600 0.7318
0.8400 0.9281 0.2682
0.1600 0.0719 0.7318
0.9281 0.4281 0.2682
0.4281 0.3400 0.2682
0.0000 0.0000 0.0000
0.5000 0.5000 0.0000
0.0719 0.5719 0.7318
0.6600 0.1600 0.7318
0.7500 0.2500 0.5000
0.2500 0.7500 0.5000
0.3848 0.8848 0.0000
0.8848 0.6152 0.0000
0.6152 0.1152 0.0000
0.1152 0.3848 0.0000
```

## Li2Ac3Ir7 (GGA-PBE)

Data for Li2Ac3Ir7 after structural relaxation.

Results
* DOS(E_F): 1.026 states/eV per atom
* energy of formation from the pure elements: -448 meV per atom
* ρ: 14.78 Mg/m³
* total energy: -6.963 eV/atom

Cell and atoms, written as POSCAR:
```
Li2Ac3Ir7
1.0
5.2604 0.0000 1.6465
2.3725 4.6950 1.6465
-0.0144 -0.0088 9.2725
Ac Ir Li
3 7 2
direct
0.0000 0.0000 0.0000
0.8599 0.8599 0.4202
0.1401 0.1401 0.5798
0.9239 0.4153 0.2455
0.0761 0.5847 0.7545
0.5000 0.5000 0.5000
0.5847 0.5847 0.7545
0.5847 0.0761 0.7545
0.4153 0.9239 0.2455
0.4153 0.4153 0.2455
0.6637 0.6637 0.0089
0.3363 0.3363 0.9911
```

## Dy8CdIn2 (GGA-PBE)

Data for Dy8CdIn2 after structural relaxation.

Results
* DOS(E_F): 1.098 states/eV per atom
* energy of formation from the pure elements: -185 meV per atom
* ρ: 8.46 Mg/m³
* energy relative to the lowest polymorph listed for this composition: 0 meV/atom
* total energy: -4.113 eV/atom

Cell and atoms, written as POSCAR:
```
Dy8CdIn2
1.0
5.1784 0.0000 0.0000
0.0000 7.1113 0.5556
-2.5892 -2.3341 8.5707
Dy Cd In
8 1 2
direct
0.1799 0.2629 0.3597
0.0301 0.7483 0.0602
0.9699 0.2517 0.9398
0.4073 0.5500 0.8147
0.6640 0.9358 0.3280
0.8201 0.7371 0.6403
0.5927 0.4500 0.1853
0.3360 0.0642 0.6720
0.5000 0.0000 0.0000
0.7930 0.2915 0.5859
0.2070 0.7085 0.4141
```

Results for spin magnetization: 0.0 0.0 0.0 0.0 0.0 1.0 0.0 0.0 0.0 0.0 0.0 0.0 0.0 (in μB per cell, following the order of the records).